[1]
Material: KCdFe
Method: DFT, PBE
State: optimized geometry

a b c (Å): 5.0197 5.0197 5.0197
angles (deg): 60.00 60.00 60.00
Last column: nearest neighbours and their distance in Å.
Fractional coordinates of all 3 atoms:
Cd 0.5000 0.5000 0.5000  4 Fe 3.07
Fe 0.7500 0.7500 0.7500  4 Cd 3.07, 4 K 3.07
K 0.0000 0.0000 0.0000  4 Fe 3.07

Computed properties:
- Energy above the lowest structure with this stoichiometry: 1.054 eV/f.u.
- ΔH_f (0 K): 0.950 eV/atom
- DOS(E_F): 0.96 states/eV per atom

***

[2]
Material: MgTlAu3
Method: DFT, PBE
State: optimized geometry

a b c (Å): 5.1076 5.1076 5.1076
angles (deg): 90.00 90.00 90.00
Last column: nearest neighbours and their distance in Å.
Fractional coordinates of all 5 atoms:
Tl 0.5000 0.5000 0.5000  12 Au 3.61
Au 0.0000 0.5000 0.0000  2 Mg 2.55
Au 0.0000 0.0000 0.5000  2 Mg 2.55
Au 0.5000 0.0000 0.0000  2 Mg 2.55
Mg 0.0000 0.0000 0.0000  6 Au 2.55

Computed properties:
- Energy above the lowest structure with this stoichiometry: 0.000 eV/f.u.
- ΔH_f (0 K): 0.169 eV/atom
- DOS(E_F): 0.20 states/eV per atom

***

[3]
Material: Ni2Ge2Ir
Method: DFT, PBE
State: optimized geometry

a b c (Å): 6.8105 6.8105 2.8473
angles (deg): 90.00 90.00 90.00
Last column: nearest neighbours and their distance in Å.
Fractional coordinates of all 10 atoms:
Ni 0.3737 0.8737 0.0000  6 Ge 2.39-2.52, 1 Ni 2.43
Ni 0.8737 0.6263 0.0000  6 Ge 2.39-2.52, 1 Ni 2.43
Ni 0.6263 0.1263 0.0000  6 Ge 2.39-2.52, 1 Ni 2.43
Ni 0.1263 0.3737 0.0000  6 Ge 2.39-2.52, 1 Ni 2.43
Ge 0.1746 0.6746 0.5000  6 Ni 2.39-2.52
Ge 0.6746 0.8254 0.5000  6 Ni 2.39-2.52
Ge 0.8254 0.3254 0.5000  6 Ni 2.39-2.52
Ge 0.3254 0.1746 0.5000  6 Ni 2.39-2.52
Ir 0.0000 0.0000 0.0000  4 Ni 2.69, 2 Ir 2.85, 8 Ge 2.89
Ir 0.5000 0.5000 0.0000  4 Ni 2.69, 2 Ir 2.85, 8 Ge 2.89

Computed properties:
- Energy above the lowest structure with this stoichiometry: 0.598 eV/f.u.
- ΔH_f (0 K): -0.039 eV/atom
- DOS(E_F): 0.58 states/eV per atom

***

[4]
Material: KCd2SiPt
Method: DFT, PBE
State: optimized geometry

a b c (Å): 5.3429 5.3429 4.6650
angles (deg): 90.00 90.00 90.00
Last column: nearest neighbours and their distance in Å.
Fractional coordinates of all 5 atoms:
K 0.5000 0.5000 0.5000  8 Cd 3.55, 4 Si 3.78
Si 0.0000 0.0000 0.5000  2 Pt 2.33
Pt 0.0000 0.0000 0.0000  2 Si 2.33
Cd 0.0000 0.5000 0.0000  2 Pt 2.67
Cd 0.5000 0.0000 0.0000  2 Pt 2.67

Computed properties:
- ΔE_f (raw): -0.15 eV/atom
- DOS(E_F): 0.55 states/eV per atom

***

> Look up the DOS(E_F) of the fourth one.

0.55 states/eV per atom

***

> Which value of DOS(E_F) does entry 2 give?

0.20 states/eV per atom